! GGA-PBE CeSmSn, optimized geometry; values from VASP
! Formation enthalpy at 0 K in eV per atom: -0.55
! Fermi-level density of states in states/eV/cell: 11.47
! SG: No. 194
&SYSTEM
  ibrav = 0, nat = 6, ntyp = 3
/
ATOMIC_SPECIES
Sn 118.71 Sn.upf
Sm 150.36 Sm.upf
Ce 140.12 Ce.upf
CELL_PARAMETERS angstrom
5.5242 -0.0008 0.0000
-2.7617 4.7843 0.0000
0.0000 0.0000 6.5503
ATOMIC_POSITIONS crystal
Sn 0.3334 0.1666 0.2500
Sm 0.3332 0.1668 0.7500
Ce 0.0000 0.5000 0.5000
Sm 0.6668 0.8332 0.2500
Sn 0.6666 0.8334 0.7500
Ce 0.0000 0.5000 0.0000

! GGA-PBE CeSmSn2, optimized geometry; values from VASP
! Formation enthalpy at 0 K in eV per atom: -0.63
! Fermi-level density of states in states/eV/cell: 8.36
! SG: No. 123
&SYSTEM
  ibrav = 0, nat = 4, ntyp = 3
/
ATOMIC_SPECIES
Ce 140.12 Ce.upf
Sm 150.36 Sm.upf
Sn 118.71 Sn.upf
CELL_PARAMETERS angstrom
-1.9269 -1.9745 -2.1494
2.8267 -0.6212 -1.9635
1.8799 -7.2918 5.0131
ATOMIC_POSITIONS crystal
Ce 0.5000 0.5000 0.5000
Sm 0.5000 0.5000 0.0000
Sn 0.0000 0.0000 0.2488
Sn 0.0000 0.0000 0.7512

! GGA-PBE Ce4SmSn4, optimized geometry; values from VASP
! Formation enthalpy at 0 K in eV per atom: -0.33
! Fermi-level density of states in states/eV/cell: 42.59
! SG: No. 86
&SYSTEM
  ibrav = 0, nat = 18, ntyp = 3
/
ATOMIC_SPECIES
Sn 118.71 Sn.upf
Ce 140.12 Ce.upf
Sm 150.36 Sm.upf
CELL_PARAMETERS angstrom
6.5705 0.0000 0.0000
0.0000 9.1828 0.0000
0.0000 0.0000 9.1828
ATOMIC_POSITIONS crystal
Sn 0.8359 0.7113 0.1032
Sn 0.3359 0.3968 0.2113
Sn 0.6641 0.2113 0.6032
Ce 0.8417 0.6108 0.7709
Ce 0.3417 0.7291 0.1108
Ce 0.6583 0.1108 0.2709
Sn 0.1641 0.1032 0.2887
Ce 0.8417 0.3892 0.2291
Ce 0.3417 0.2709 0.8892
Sn 0.3359 0.6032 0.7887
Sm 0.5000 0.5000 0.5000
Sn 0.8359 0.2887 0.8968
Ce 0.1583 0.2291 0.6108
Ce 0.1583 0.7709 0.3892
Ce 0.6583 0.8892 0.7291
Sn 0.6641 0.7887 0.3968
Sm 0.0000 0.0000 0.0000
Sn 0.1641 0.8968 0.7113